Entry 1:
Entry from OQMD: crystalline PrYNi4Sn2 at its relaxed geometry (GGA-PBE).

a = 4.3894 Å, b = 4.3894 Å, c = 8.9444 Å
α = 90.00°, β = 90.00°, γ = 120.00°
With the nearest neighbours (Å) after each atom.
Sites, in units of the cell vectors:
Ni1 0.0000 0.0000 0.6663  3 Sn 2.62, 3 Ni 2.86
Sn1 0.3333 0.6667 0.2600  6 Ni 2.62
Ni2 0.6667 0.3333 0.8153  3 Sn 2.62, 1 Y 2.82, 3 Ni 2.86
Pr1 0.0000 0.0000 0.0000  8 Ni 2.99-3.03
Ni3 0.0000 0.0000 0.3337  3 Sn 2.62, 3 Ni 2.86
Sn2 0.3333 0.6667 0.7400  6 Ni 2.62
Ni4 0.6667 0.3333 0.1847  3 Sn 2.62, 1 Y 2.82, 3 Ni 2.86
Y1 0.6667 0.3333 0.5000  8 Ni 2.82-2.94

## Properties
Symmetry   P-6m2 (187)
Theoretical density   7811 kg/m³
M_tot   0.0 Bohr magnetons per cell
E_tot   -0.2088 Ha/atom

---

Entry 2:
Entry from OQMD: crystalline NdGa2Pt2 at its relaxed geometry (GGA-PBE).

a = 6.2751 Å, b = 6.2751 Å, c = 6.2751 Å
α = 140.52°, β = 140.52°, γ = 57.06°
With the nearest neighbours (Å) after each atom.
Sites, in units of the cell vectors:
Pt1 0.6217 0.6217 0.0000  4 Ga 2.55, 1 Pt 2.68
Ga1 0.2500 0.7500 0.5000  4 Pt 2.55
Nd1 0.0000 0.0000 0.0000  8 Pt 3.28, 8 Ga 3.48
Pt2 0.3783 0.3783 0.0000  4 Ga 2.55, 1 Pt 2.68
Ga2 0.7500 0.2500 0.5000  4 Pt 2.55

## Properties
Symmetry   I4/mmm (139)
Theoretical density   11296 kg/m³
M_tot   0.0 Bohr magnetons per cell
E_tot   -0.2025 Ha/atom